1.
{"formula": "NdCoSi3Ir", "functional": "GGA-PBE", "state": "relaxed", "cell": [[-2.891, -2.966, 3.943], [4.798, -3.871, 0.606], [-0.036, 5.562, 4.157]], "species": ["Nd", "Nd", "Co", "Co", "Si", "Si", "Si", "Si", "Si", "Si", "Ir", "Ir"], "fractional_positions": [[0.750, 0.212, 0.425], [0.250, 0.788, 0.575], [0.250, 0.039, 0.078], [0.750, 0.961, 0.922], [0.250, 0.207, 0.415], [0.000, 0.282, 0.000], [0.500, 0.718, 0.000], [0.500, 0.282, 0.000], [0.000, 0.718, 0.000], [0.750, 0.793, 0.585], [0.250, 0.388, 0.776], [0.750, 0.612, 0.224]], "m_tot_mub_per_cell": 0.000, "e_tot_ev_per_cell": -80.4, "raw_formation_energy_mev_per_atom": -529, "sg": "Cmcm, No. 63"}

***

2.
{"formula": "CaCo2GeN", "functional": "GGA-PBE", "state": "relaxed", "cell": [[-3.477, -0.431, -1.275], [0.173, -1.517, 5.492], [-1.459, 6.401, 1.814]], "species": ["Ca", "Ca", "Co", "Co", "Co", "Co", "Ge", "Ge", "N", "N"], "fractional_positions": [[0.454, 0.908, 0.750], [0.546, 0.092, 0.250], [0.157, 0.314, 0.945], [0.843, 0.686, 0.055], [0.157, 0.314, 0.555], [0.843, 0.686, 0.445], [0.730, 0.460, 0.750], [0.270, 0.540, 0.250], [0.000, 0.000, 0.000], [0.000, 0.000, 0.500]], "m_tot_mub_per_cell": 0.000, "e_tot_ev_per_cell": -63.7, "raw_formation_energy_mev_per_atom": -534, "sg": "Cmcm, No. 63"}

***

Please write out number 2 again, unchanged.
{"formula": "CaCo2GeN", "functional": "GGA-PBE", "state": "relaxed", "cell": [[-3.477, -0.431, -1.275], [0.173, -1.517, 5.492], [-1.459, 6.401, 1.814]], "species": ["Ca", "Ca", "Co", "Co", "Co", "Co", "Ge", "Ge", "N", "N"], "fractional_positions": [[0.454, 0.908, 0.750], [0.546, 0.092, 0.250], [0.157, 0.314, 0.945], [0.843, 0.686, 0.055], [0.157, 0.314, 0.555], [0.843, 0.686, 0.445], [0.730, 0.460, 0.750], [0.270, 0.540, 0.250], [0.000, 0.000, 0.000], [0.000, 0.000, 0.500]], "m_tot_mub_per_cell": 0.000, "e_tot_ev_per_cell": -63.7, "raw_formation_energy_mev_per_atom": -534, "sg": "Cmcm, No. 63"}